1.
Sc2BAsRh6: relaxed, PBE-GGA.

## Properties
raw total energy = -293.32 eV for the cell shown
energy of formation = -12.1 kcal/mol of atoms

```
data_Sc2BAsRh6
_chemical_formula_sum 'Sc8 B4 As4 Rh24'
_cell_length_a 8.6405
_cell_length_b 8.6405
_cell_length_c 8.6405
_cell_angle_alpha 90.00
_cell_angle_beta 90.00
_cell_angle_gamma 90.00
_symmetry_space_group_name_H-M 'F m -3 m'
_symmetry_Int_Tables_number 225
_symmetry_space_group_name_Hall '-F 4 2 3'
loop_
_atom_site_label
_atom_site_fract_x
_atom_site_fract_y
_atom_site_fract_z
_atom_site_occupancy
Sc1 0.2500 0.2500 0.2500 1
B1 0.0000 0.0000 0.0000 1
As1 0.0000 0.0000 0.5000 1
Rh1 0.0000 0.0000 0.2357 1
```

2.
ScBAs2Rh: relaxed, PBE-GGA.

## Properties
raw total energy = -28.57 eV for the cell shown
energy of formation = 5.0 kcal/mol of atoms

```
data_ScBAs2Rh
_chemical_formula_sum 'Sc1 B1 As2 Rh1'
_cell_length_a 4.2821
_cell_length_b 4.2821
_cell_length_c 4.3696
_cell_angle_alpha 90.00
_cell_angle_beta 90.00
_cell_angle_gamma 90.00
_symmetry_space_group_name_H-M 'P 4/m m m'
_symmetry_Int_Tables_number 123
_symmetry_space_group_name_Hall '-P 4 2'
loop_
_atom_site_label
_atom_site_fract_x
_atom_site_fract_y
_atom_site_fract_z
_atom_site_occupancy
Sc1 0.0000 0.0000 0.0000 1
B1 0.0000 0.0000 0.5000 1
As1 0.0000 0.5000 0.5000 1
Rh1 0.5000 0.5000 0.0000 1
```

3.
Sm3B2AsRh9: relaxed, PBE-GGA.

## Properties
raw total energy = -108.60 eV for the cell shown
energy of formation = -15.8 kcal/mol of atoms

```
data_Sm3B2AsRh9
_chemical_formula_sum 'Sm3 B2 As1 Rh9'
_cell_length_a 6.1453
_cell_length_b 6.1453
_cell_length_c 7.5605
_cell_angle_alpha 90.00
_cell_angle_beta 90.00
_cell_angle_gamma 120.00
_symmetry_space_group_name_H-M 'P -3 m 1'
_symmetry_Int_Tables_number 164
_symmetry_space_group_name_Hall '-P 3 2"'
loop_
_atom_site_label
_atom_site_fract_x
_atom_site_fract_y
_atom_site_fract_z
_atom_site_occupancy
Sm1 0.0000 0.0000 0.0000 1
Sm2 0.3333 0.6667 0.6687 1
B1 0.3333 0.6667 0.1449 1
As1 0.0000 0.0000 0.5000 1
Rh1 0.0000 0.5000 0.0000 1
Rh2 0.1778 0.3556 0.3166 1
```

4.
Sm4B3AsRh12: relaxed, PBE-GGA.

## Properties
raw total energy = -290.76 eV for the cell shown
energy of formation = -15.7 kcal/mol of atoms

```
data_Sm4B3AsRh12
_chemical_formula_sum 'Sm8 B6 As2 Rh24'
_cell_length_a 8.6558
_cell_length_b 8.6558
_cell_length_c 8.6558
_cell_angle_alpha 90.00
_cell_angle_beta 90.00
_cell_angle_gamma 90.00
_symmetry_space_group_name_H-M 'I m -3 m'
_symmetry_Int_Tables_number 229
_symmetry_space_group_name_Hall '-I 4 2 3'
loop_
_atom_site_label
_atom_site_fract_x
_atom_site_fract_y
_atom_site_fract_z
_atom_site_occupancy
Sm1 0.2500 0.2500 0.2500 1
B1 0.0000 0.0000 0.5000 1
As1 0.0000 0.0000 0.0000 1
Rh1 0.0000 0.0000 0.2679 1
Rh2 0.0000 0.2500 0.5000 1
```

5.
Sm2BAsRh6: relaxed, PBE-GGA.

## Properties
raw total energy = -70.37 eV for the cell shown
energy of formation = -12.7 kcal/mol of atoms

```
data_Sm2BAsRh6
_chemical_formula_sum 'Sm2 B1 As1 Rh6'
_cell_length_a 4.4605
_cell_length_b 4.4605
_cell_length_c 8.7449
_cell_angle_alpha 90.00
_cell_angle_beta 90.00
_cell_angle_gamma 90.00
_symmetry_space_group_name_H-M 'P 4/m m m'
_symmetry_Int_Tables_number 123
_symmetry_space_group_name_Hall '-P 4 2'
loop_
_atom_site_label
_atom_site_fract_x
_atom_site_fract_y
_atom_site_fract_z
_atom_site_occupancy
Sm1 0.0000 0.0000 0.2360 1
B1 0.5000 0.5000 0.0000 1
As1 0.5000 0.5000 0.5000 1
Rh1 0.0000 0.5000 0.0000 1
Rh2 0.0000 0.5000 0.5000 1
Rh3 0.5000 0.5000 0.2302 1
```

6.
SrBAsRh3: relaxed, PBE-GGA.

## Properties
raw total energy = -153.26 eV for the cell shown
energy of formation = -12.5 kcal/mol of atoms

```
data_SrBAsRh3
_chemical_formula_sum 'Sr4 B4 As4 Rh12'
_cell_length_a 5.8337
_cell_length_b 12.2640
_cell_length_c 5.8633
_cell_angle_alpha 90.00
_cell_angle_beta 90.00
_cell_angle_gamma 90.00
_symmetry_space_group_name_H-M 'C m c m'
_symmetry_Int_Tables_number 63
_symmetry_space_group_name_Hall '-C 2c 2'
loop_
_atom_site_label
_atom_site_fract_x
_atom_site_fract_y
_atom_site_fract_z
_atom_site_occupancy
Sr1 0.0000 0.2482 0.2500 1
B1 0.0000 0.4768 0.7500 1
As1 0.0000 0.1167 0.7500 1
Rh1 0.0000 0.3106 0.7500 1
Rh2 0.2481 0.5000 0.0000 1
```

7.
Tb3B2AsRh9: relaxed, PBE-GGA.

## Properties
raw total energy = -108.74 eV for the cell shown
energy of formation = -16.4 kcal/mol of atoms

```
data_Tb3B2AsRh9
_chemical_formula_sum 'Tb3 B2 As1 Rh9'
_cell_length_a 6.1059
_cell_length_b 6.1059
_cell_length_c 7.5294
_cell_angle_alpha 90.00
_cell_angle_beta 90.00
_cell_angle_gamma 120.00
_symmetry_space_group_name_H-M 'P -3 m 1'
_symmetry_Int_Tables_number 164
_symmetry_space_group_name_Hall '-P 3 2"'
loop_
_atom_site_label
_atom_site_fract_x
_atom_site_fract_y
_atom_site_fract_z
_atom_site_occupancy
Tb1 0.0000 0.0000 0.0000 1
Tb2 0.3333 0.6667 0.6691 1
B1 0.3333 0.6667 0.1453 1
As1 0.0000 0.0000 0.5000 1
Rh1 0.0000 0.5000 0.0000 1
Rh2 0.1773 0.3545 0.3163 1
```

8.
TbBAsRh3: relaxed, PBE-GGA.

## Properties
raw total energy = -168.08 eV for the cell shown
energy of formation = -15.4 kcal/mol of atoms

```
data_TbBAsRh3
_chemical_formula_sum 'Tb4 B4 As4 Rh12'
_cell_length_a 5.7195
_cell_length_b 11.9864
_cell_length_c 5.7578
_cell_angle_alpha 90.00
_cell_angle_beta 90.00
_cell_angle_gamma 90.00
_symmetry_space_group_name_H-M 'C m c m'
_symmetry_Int_Tables_number 63
_symmetry_space_group_name_Hall '-C 2c 2'
loop_
_atom_site_label
_atom_site_fract_x
_atom_site_fract_y
_atom_site_fract_z
_atom_site_occupancy
Tb1 0.0000 0.2408 0.2500 1
B1 0.0000 0.4962 0.7500 1
As1 0.0000 0.1270 0.7500 1
Rh1 0.0000 0.3217 0.7500 1
Rh2 0.2451 0.0000 0.0000 1
```

Question: Among the records above, which one has the highest energy of formation?
Answer: ScBAs2Rh

Please write out number 5 again, unchanged.
Sm2BAsRh6: relaxed, PBE-GGA.

## Properties
raw total energy = -70.37 eV for the cell shown
energy of formation = -12.7 kcal/mol of atoms

```
data_Sm2BAsRh6
_chemical_formula_sum 'Sm2 B1 As1 Rh6'
_cell_length_a 4.4605
_cell_length_b 4.4605
_cell_length_c 8.7449
_cell_angle_alpha 90.00
_cell_angle_beta 90.00
_cell_angle_gamma 90.00
_symmetry_space_group_name_H-M 'P 4/m m m'
_symmetry_Int_Tables_number 123
_symmetry_space_group_name_Hall '-P 4 2'
loop_
_atom_site_label
_atom_site_fract_x
_atom_site_fract_y
_atom_site_fract_z
_atom_site_occupancy
Sm1 0.0000 0.0000 0.2360 1
B1 0.5000 0.5000 0.0000 1
As1 0.5000 0.5000 0.5000 1
Rh1 0.0000 0.5000 0.0000 1
Rh2 0.0000 0.5000 0.5000 1
Rh3 0.5000 0.5000 0.2302 1
```

Please write out number 1 again, unchanged.
Sc2BAsRh6: relaxed, PBE-GGA.

## Properties
raw total energy = -293.32 eV for the cell shown
energy of formation = -12.1 kcal/mol of atoms

```
data_Sc2BAsRh6
_chemical_formula_sum 'Sc8 B4 As4 Rh24'
_cell_length_a 8.6405
_cell_length_b 8.6405
_cell_length_c 8.6405
_cell_angle_alpha 90.00
_cell_angle_beta 90.00
_cell_angle_gamma 90.00
_symmetry_space_group_name_H-M 'F m -3 m'
_symmetry_Int_Tables_number 225
_symmetry_space_group_name_Hall '-F 4 2 3'
loop_
_atom_site_label
_atom_site_fract_x
_atom_site_fract_y
_atom_site_fract_z
_atom_site_occupancy
Sc1 0.2500 0.2500 0.2500 1
B1 0.0000 0.0000 0.0000 1
As1 0.0000 0.0000 0.5000 1
Rh1 0.0000 0.0000 0.2357 1
```